No. 1
# NaCuPt2, optimized geometry, DFT GGA-PBE
# Crystal system: cubic
# D(E_F) (states/eV/atom): 0.56
# E above lowest polymorph (eV per atom): 0.000
# Magnetic moment (μB/f.u.): 0.00
data_NaCuPt2
_cell_length_a 6.244
_cell_length_b 6.244
_cell_length_c 6.244
_cell_angle_alpha 90.00
_cell_angle_beta 90.00
_cell_angle_gamma 90.00
_symmetry_space_group_name_H-M 'F m -3 m'
_symmetry_Int_Tables_number 225
_symmetry_space_group_name_Hall '-F 4 2 3'
loop_
_atom_site_label
_atom_site_type_symbol
_atom_site_fract_x
_atom_site_fract_y
_atom_site_fract_z
Na1 Na 0.000 0.000 0.000
Cu1 Cu 0.000 0.000 0.500
Pt1 Pt 0.250 0.250 0.250



No. 2
# NaCuPt2, optimized geometry, DFT GGA-PBE
# Crystal system: tetragonal
# D(E_F) (states/eV/atom): 0.68
# E above lowest polymorph (eV per atom): 0.189
# Magnetic moment (μB/f.u.): 0.00
data_NaCuPt2
_cell_length_a 4.735
_cell_length_b 4.735
_cell_length_c 17.147
_cell_angle_alpha 90.00
_cell_angle_beta 90.00
_cell_angle_gamma 90.00
_symmetry_space_group_name_H-M 'I -4 2 d'
_symmetry_Int_Tables_number 122
_symmetry_space_group_name_Hall 'I -4 2bw'
loop_
_atom_site_label
_atom_site_type_symbol
_atom_site_fract_x
_atom_site_fract_y
_atom_site_fract_z
Na1 Na 0.000 0.000 0.000
Cu1 Cu 0.000 0.000 0.500
Pt1 Pt 0.077 0.250 0.625



Question: The lowest D(E_F) belongs to which entry?
Answer: number 1



Question: Among the records above, which one has the lowest D(E_F)?
Answer: number 1